Material: Er2TmAl2
Method: DFT, PBE
State: optimized geometry

Output
Formation energy   -0.1264 eV per atom
ΔE to the lowest computed polymorph   191 meV/atom
Uncorrected energy   -43.43 eV for the cell shown
N(E_F)   1.005 states/eV/atom

Unit cell a=5.5437 b=3.5091 c=13.3555 alpha=90.00 beta=95.60 gamma=90.00
Last column: nearest neighbours and their distance in Å.
Space group P2_1/m (No. 11)
Unique sites:
Er 0.1542 0.2500 0.1135 x2  5 Al 2.84-3.03
Er 0.2588 0.7500 0.5392 x2  4 Al 3.17-3.21, 6 Er 3.44-3.51, 2 Tm 3.46
Tm 0.3182 0.2500 0.7631 x2  2 Al 3.09, 2 Er 3.46
Al 0.2104 0.2500 0.3409 x2  5 Er 3.02-3.21
Al 0.3470 0.7500 0.9542 x2  2 Al 2.65, 1 Er 2.84